Entry 1:
VASP calculation (PBE-GGA) on MgSc2W after structural relaxation.

abc: 4.0987 4.4133 4.4133
angles: 90.00 90.00 90.00
Closest atoms and distances in Å follow each position.
Sites, in units of the cell vectors:
W 0.5000 0.5000 0.0000  8 Sc 3.01, 4 Mg 3.12
Mg 0.5000 0.0000 0.5000  8 Sc 3.01, 4 W 3.12
Sc 0.0000 0.5000 0.5000  4 W 3.01, 4 Mg 3.01, 4 Sc 3.12
Sc 0.0000 0.0000 0.0000  4 W 3.01, 4 Mg 3.01, 4 Sc 3.12

Computed properties:
- DFT formation energy (eV per atom) = 0.290
- theoretical density (Mg/m³) = 6.20

=====

Entry 2:
VASP calculation (PBE-GGA) on Y2Mg6Sc after structural relaxation.

abc: 3.2672 8.9717 11.1008
angles: 113.84 126.11 89.99
Closest atoms and distances in Å follow each position.
Sites, in units of the cell vectors:
Sc 0.0000 0.0000 0.0000  2 Sc 3.27, 12 Mg 3.36-3.37
Y 0.6657 0.6664 0.3328  2 Y 3.27, 12 Mg 3.42-3.43
Y 0.3343 0.3336 0.6672  2 Y 3.27, 12 Mg 3.42-3.43
Mg 0.1545 0.3282 0.3285  5 Mg 2.94-3.27
Mg 0.5001 0.6722 0.0000  5 Mg 2.94-3.27
Mg 0.8438 0.9997 0.6715  5 Mg 2.94-3.27
Mg 0.1562 0.0003 0.3285  5 Mg 2.94-3.27
Mg 0.4999 0.3278 0.0000  5 Mg 2.94-3.27
Mg 0.8455 0.6718 0.6715  5 Mg 2.94-3.27

Computed properties:
- DFT formation energy (eV per atom) = -0.053
- theoretical density (Mg/m³) = 2.69

=====

no.,total energy (eV per atom),M_tot (μB/cell)
1,-6.513,0.00
2,-3.256,0.00